No. 1
The following is a DFT calculation (PBE) of crystalline KTi2InO6 at its relaxed geometry.

Calculated volume ... 334 Å³ per cell
E ... -7.39 eV per atom
Formation energy from raw total energies ... -2.453 eV/atom

Unit cell a=6.451 b=7.594 c=7.594 alpha=102.35 beta=75.73 gamma=75.73
Sites, in units of the cell vectors:
1 K 0.250 0.894 0.106
2 K 0.750 0.106 0.894
3 Ti 0.332 0.717 0.569
4 Ti 0.168 0.431 0.283
5 Ti 0.668 0.283 0.431
6 Ti 0.832 0.569 0.717
7 In 0.250 0.204 0.796
8 In 0.750 0.796 0.204
9 O 0.208 0.937 0.763
10 O 0.292 0.237 0.063
11 O 0.792 0.063 0.237
12 O 0.708 0.763 0.937
13 O 0.447 0.801 0.373
14 O 0.053 0.627 0.199
15 O 0.553 0.199 0.627
16 O 0.947 0.373 0.801
17 O 0.058 0.650 0.582
18 O 0.442 0.418 0.350
19 O 0.942 0.350 0.418
20 O 0.558 0.582 0.650

***

No. 2
The following is a DFT calculation (PBE) of crystalline NaMgBe2H6 at its relaxed geometry.

Calculated volume ... 103 Å³ per cell
E ... -3.08 eV per atom

Unit cell a=4.454 b=4.454 c=6.524 alpha=70.04 beta=70.04 gamma=60.00
Sites, in units of the cell vectors:
1 Na 0.000 0.000 0.000
2 Mg 0.500 0.500 0.500
3 Be 0.764 0.764 0.707
4 Be 0.236 0.236 0.293
5 H 0.085 0.463 0.724
6 H 0.727 0.085 0.724
7 H 0.537 0.273 0.276
8 H 0.915 0.537 0.276
9 H 0.273 0.915 0.276
10 H 0.463 0.727 0.724

***

No. 3
The following is a DFT calculation (PBE) of crystalline CsSn2Se3 at its relaxed geometry.

Calculated volume ... 412 Å³ per cell
E ... -3.83 eV per atom
Formation energy from raw total energies ... -0.610 eV/atom

Unit cell a=4.004 b=8.351 c=12.314 alpha=90.00 beta=90.00 gamma=90.00
Sites, in units of the cell vectors:
1 Cs 0.000 0.002 0.862
2 Cs 0.000 0.502 0.138
3 Sn 0.000 0.003 0.233
4 Sn 0.500 0.061 0.513
5 Sn 0.000 0.503 0.767
6 Sn 0.500 0.561 0.487
7 Se 0.500 0.131 0.103
8 Se 0.500 0.277 0.686
9 Se 0.000 0.226 0.398
10 Se 0.500 0.631 0.897
11 Se 0.500 0.777 0.314
12 Se 0.000 0.726 0.602